--- P ---
This record from Alexandria via LeMat-Bulk describes a geometry-optimized Ce8Tc2Os structure. The functional is PBE.

Properties
M_tot in μB per formula unit: 0.06
V in Å³/cell: 525.2

a b c (Å): 17.625 4.538 6.635
angles (deg): 90.00 98.27 90.00
Space group C2/m (No. 12)
One atom of each set of equivalent atoms:
1 Ce 0.006 0.000 0.254 (multiplicity 4)
2 Ce 0.093 0.500 0.467 (multiplicity 4)
3 Ce 0.157 0.500 0.972 (multiplicity 4)
4 Ce 0.219 0.000 0.290 (multiplicity 4)
5 Tc 0.168 0.000 0.679 (multiplicity 4)
6 Os 0.000 0.500 0.000 (multiplicity 2)



--- Q ---
This record from Alexandria via LeMat-Bulk describes a geometry-optimized Ce8Tc2Os structure. The functional is PBE.

Properties
M_tot in μB per formula unit: 1.82
V in Å³/cell: 537.6

a b c (Å): 7.932 12.580 5.807
angles (deg): 90.00 111.90 90.00
Space group C2/m (No. 12)
One atom of each set of equivalent atoms:
1 Ce 0.000 0.217 0.000 (multiplicity 4)
2 Ce 0.124 0.500 0.823 (multiplicity 4)
3 Ce 0.213 0.113 0.586 (multiplicity 8)
4 Tc 0.000 0.296 0.500 (multiplicity 4)
5 Os 0.000 0.000 0.000 (multiplicity 2)



Which of them is most stable, and which least? Most stable: P; least stable: Q.



--- P ---
This record from Alexandria via LeMat-Bulk describes a geometry-optimized Ce3TeOs structure. The functional is PBE.

Properties
M_tot in μB per formula unit: 1.82
V in Å³/cell: 1092.6

a b c (Å): 12.376 13.860 6.381
angles (deg): 90.00 93.37 90.00
Space group C2/c (No. 15)
One atom of each set of equivalent atoms:
1 Ce 0.109 0.143 0.058 (multiplicity 8)
2 Ce 0.121 0.327 0.593 (multiplicity 8)
3 Ce 0.166 0.420 0.070 (multiplicity 8)
4 Te 0.146 0.091 0.557 (multiplicity 8)
5 Os 0.000 0.294 0.250 (multiplicity 4)
6 Os 0.000 0.492 0.750 (multiplicity 4)



--- Q ---
This record from Alexandria via LeMat-Bulk describes a geometry-optimized Ce3TeOs structure. The functional is PBE.

Properties
M_tot in μB per formula unit: 1.58
V in Å³/cell: 530.4

a b c (Å): 11.428 4.344 11.042
angles (deg): 90.00 104.64 90.00
Space group C2/m (No. 12)
One atom of each set of equivalent atoms:
1 Ce 0.071 0.000 0.388 (multiplicity 4)
2 Ce 0.124 0.500 0.131 (multiplicity 4)
3 Ce 0.132 0.500 0.659 (multiplicity 4)
4 Te 0.102 0.000 0.893 (multiplicity 4)
5 Os 0.227 0.500 0.394 (multiplicity 4)



Which of them is most stable, and which least? Most stable: Q; least stable: P.



--- P ---
This record from Alexandria via LeMat-Bulk describes a geometry-optimized Ce5Te2Os structure. The functional is PBE.

Properties
M_tot in μB per formula unit: 5.92
V in Å³/cell: 883.8

a b c (Å): 5.717 9.382 16.478
angles (deg): 90.00 90.00 90.00
Space group Cmcm (No. 63)
One atom of each set of equivalent atoms:
1 Ce 0.000 0.059 0.096 (multiplicity 8)
2 Ce 0.000 0.259 0.750 (multiplicity 4)
3 Ce 0.000 0.391 0.133 (multiplicity 8)
4 Te 0.000 0.281 0.561 (multiplicity 8)
5 Os 0.000 0.154 0.250 (multiplicity 4)



--- Q ---
This record from Alexandria via LeMat-Bulk describes a geometry-optimized Ce5Te2Os structure. The functional is PBE.

Properties
M_tot in μB per formula unit: 4.50
V in Å³/cell: 441.8

a b c (Å): 7.900 12.241 4.568
angles (deg): 90.00 90.00 90.00
Space group Pbam (No. 55)
One atom of each set of equivalent atoms:
1 Ce 0.000 0.000 0.000 (multiplicity 2)
2 Ce 0.130 0.298 0.000 (multiplicity 4)
3 Ce 0.207 0.558 0.500 (multiplicity 4)
4 Te 0.087 0.822 0.500 (multiplicity 4)
5 Os 0.000 0.500 0.000 (multiplicity 2)



Which of them is most stable, and which least? Most stable: Q; least stable: P.



--- P ---
This record from Alexandria via LeMat-Bulk describes a geometry-optimized Ce2ThOs structure. The functional is PBE.

Properties
M_tot in μB per formula unit: 0.00
V in Å³/cell: 345.7

a b c (Å): 3.8487 3.8487 26.9452
angles (deg): 90.00 90.00 120.00
Space group R3m (No. 160, hexagonal axes)
One atom of each set of equivalent atoms:
1 Ce 0.0000 0.0000 0.0000 (multiplicity 3)
2 Ce 0.0000 0.0000 0.2119 (multiplicity 3)
3 Th 0.0000 0.0000 0.4398 (multiplicity 3)
4 Os 0.0000 0.0000 0.6053 (multiplicity 3)



--- Q ---
This record from Alexandria via LeMat-Bulk describes a geometry-optimized Ce2ThOs structure. The functional is PBE.

Properties
M_tot in μB per formula unit: 0.00
V in Å³/cell: 356.1

a b c (Å): 3.6693 3.6693 30.5417
angles (deg): 90.00 90.00 120.00
Space group R-3m (No. 166, hexagonal axes)
One atom of each set of equivalent atoms:
1 Ce 0.0000 0.0000 0.1093 (multiplicity 6)
2 Th 0.0000 0.0000 0.0000 (multiplicity 3)
3 Os 0.0000 0.0000 0.5000 (multiplicity 3)



--- R ---
This record from Alexandria via LeMat-Bulk describes a geometry-optimized Ce2ThOs structure. The functional is PBE.

Properties
M_tot in μB per formula unit: 0.00
V in Å³/cell: 423.5

a b c (Å): 7.058 9.872 6.077
angles (deg): 90.00 90.00 90.00
Space group Pnma (No. 62)
One atom of each set of equivalent atoms:
1 Ce 0.172 0.058 0.145 (multiplicity 8)
2 Th 0.038 0.250 0.641 (multiplicity 4)
3 Os 0.117 0.750 0.896 (multiplicity 4)



Which of them is most stable, and which least? Most stable: R; least stable: Q.



--- P ---
This record from Alexandria via LeMat-Bulk describes a geometry-optimized Ce2ThOs2 structure. The functional is PBE.

Properties
M_tot in μB per formula unit: 0.00
V in Å³/cell: 483.7

a b c (Å): 12.545 4.031 11.014
angles (deg): 90.00 119.73 90.00
Space group C2/m (No. 12)
One atom of each set of equivalent atoms:
1 Ce 0.053 0.000 0.199 (multiplicity 4)
2 Ce 0.178 0.000 0.582 (multiplicity 4)
3 Th 0.185 0.500 0.847 (multiplicity 4)
4 Os 0.052 0.500 0.414 (multiplicity 4)
5 Os 0.128 0.500 0.068 (multiplicity 4)



--- Q ---
This record from Alexandria via LeMat-Bulk describes a geometry-optimized Ce2ThOs2 structure. The functional is PBE.

Properties
M_tot in μB per formula unit: 0.00
V in Å³/cell: 243.9

a b c (Å): 6.114 4.414 9.037
angles (deg): 90.00 90.28 90.00
Space group P2_1/m (No. 11)
One atom of each set of equivalent atoms:
1 Ce 0.131 0.250 0.368 (multiplicity 2)
2 Ce 0.151 0.750 0.993 (multiplicity 2)
3 Th 0.414 0.250 0.733 (multiplicity 2)
4 Os 0.320 0.750 0.532 (multiplicity 2)
5 Os 0.381 0.250 0.095 (multiplicity 2)



Which of them is most stable, and which least? Most stable: Q; least stable: P.



--- P ---
This record from Alexandria via LeMat-Bulk describes a geometry-optimized CeTh2Os2 structure. The functional is PBE.

Properties
M_tot in μB per formula unit: 0.00
V in Å³/cell: 251.1

a b c (Å): 11.554 3.977 6.472
angles (deg): 90.00 122.39 90.00
Space group C2/m (No. 12)
One atom of each set of equivalent atoms:
1 Ce 0.000 0.000 0.000 (multiplicity 2)
2 Th 0.191 0.000 0.688 (multiplicity 4)
3 Os 0.037 0.500 0.323 (multiplicity 4)



--- Q ---
This record from Alexandria via LeMat-Bulk describes a geometry-optimized CeTh2Os2 structure. The functional is PBE.

Properties
M_tot in μB per formula unit: 0.00
V in Å³/cell: 491.0

a b c (Å): 12.486 4.014 11.163
angles (deg): 90.00 118.65 90.00
Space group C2/m (No. 12)
One atom of each set of equivalent atoms:
1 Ce 0.200 0.000 0.360 (multiplicity 4)
2 Th 0.047 0.500 0.701 (multiplicity 4)
3 Th 0.173 0.500 0.088 (multiplicity 4)
4 Os 0.039 0.000 0.898 (multiplicity 4)
5 Os 0.127 0.000 0.567 (multiplicity 4)



Which of them is most stable, and which least? Most stable: P; least stable: Q.



--- P ---
This record from Alexandria via LeMat-Bulk describes a geometry-optimized Ce2TlOs structure. The functional is PBE.

Properties
M_tot in μB per formula unit: 0.20
V in Å³/cell: 338.1

a b c (Å): 4.0142 4.0142 24.2294
angles (deg): 90.00 90.00 120.00
Space group R-3m (No. 166, hexagonal axes)
One atom of each set of equivalent atoms:
1 Ce 0.0000 0.0000 0.2299 (multiplicity 6)
2 Tl 0.0000 0.0000 0.0000 (multiplicity 3)
3 Os 0.0000 0.0000 0.5000 (multiplicity 3)



--- Q ---
This record from Alexandria via LeMat-Bulk describes a geometry-optimized Ce2TlOs structure. The functional is PBE.

Properties
M_tot in μB per formula unit: 0.00
V in Å³/cell: 96.4

a b c (Å): 3.282 3.282 8.947
angles (deg): 90.00 90.00 90.00
Space group P4/mmm (No. 123)
One atom of each set of equivalent atoms:
1 Ce 0.000 0.000 0.206 (multiplicity 2)
2 Tl 0.500 0.500 0.500 (multiplicity 1)
3 Os 0.500 0.500 0.000 (multiplicity 1)



Which of them is most stable, and which least? Most stable: Q; least stable: P.



--- P ---
This record from Alexandria via LeMat-Bulk describes a geometry-optimized Ce2TlOs structure. The functional is PBE.

Properties
M_tot in μB per formula unit: 0.68
V in Å³/cell: 414.5

a b c (Å): 14.050 3.845 7.682
angles (deg): 90.00 92.91 90.00
Space group C2/m (No. 12)
One atom of each set of equivalent atoms:
1 Ce 0.044 0.000 0.298 (multiplicity 4)
2 Ce 0.232 0.000 0.693 (multiplicity 4)
3 Tl 0.112 0.500 0.962 (multiplicity 4)
4 Os 0.106 0.500 0.560 (multiplicity 4)



--- Q ---
This record from Alexandria via LeMat-Bulk describes a geometry-optimized Ce2TlOs structure. The functional is PBE.

Properties
M_tot in μB per formula unit: 0.50
V in Å³/cell: 341.5

a b c (Å): 4.0327 4.0327 24.2483
angles (deg): 90.00 90.00 120.00
Space group R3m (No. 160, hexagonal axes)
One atom of each set of equivalent atoms:
1 Ce 0.0000 0.0000 0.0000 (multiplicity 3)
2 Ce 0.0000 0.0000 0.2082 (multiplicity 3)
3 Tl 0.0000 0.0000 0.7715 (multiplicity 3)
4 Os 0.0000 0.0000 0.6036 (multiplicity 3)



Which of them is most stable, and which least? Most stable: P; least stable: Q.